Entry 1:
# DyNpAsO2 (PBE, optimized geometry)
# **E_form (uncorrected)**: -2424 meV/atom
data_DyNpAsO2
_cell_length_a 3.787
_cell_length_b 3.787
_cell_length_c 12.142
_cell_angle_alpha 90.00
_cell_angle_beta 90.00
_cell_angle_gamma 90.00
_space_group_name_H-M_alt 'I 4 m m'
_space_group_IT_number 107
_space_group_name_Hall 'I 4 -2'
loop_
_atom_site_label
_atom_site_fract_x
_atom_site_fract_y
_atom_site_fract_z
_atom_site_occupancy
Dy1 0.000 0.000 0.000 1
Np1 0.000 0.000 0.297 1
As1 0.000 0.000 0.653 1
O1 0.000 0.500 0.398 1

Entry 2:
# TbTm2Pt (PBE, optimized geometry)
# **Calculated formation energy**: -2.2 eV per formula unit
data_TbTm2Pt
_cell_length_a 3.8806
_cell_length_b 3.8806
_cell_length_c 26.7878
_cell_angle_alpha 90.00
_cell_angle_beta 90.00
_cell_angle_gamma 120.00
_space_group_name_H-M_alt 'R 3 m'
_space_group_IT_number 160
_space_group_name_Hall 'R 3 -2"'
loop_
_atom_site_label
_atom_site_fract_x
_atom_site_fract_y
_atom_site_fract_z
_atom_site_occupancy
Tb1 0.0000 0.0000 0.0000 1
Tm1 0.0000 0.0000 0.5585 1
Tm2 0.0000 0.0000 0.7706 1
Pt1 0.0000 0.0000 0.1640 1